First-principles (PBE) data for CaAl3Pd4 after structural relaxation, as listed in the Alexandria database.

Output
DOS at the Fermi energy = 3.2 states/eV per cell
ΔH_f (0 K) = -79.4 kJ per mole of atoms

Lattice parameters (Å, degrees): 4.351 4.351 8.752 75.61 75.61 60.00
Fractional positions:
Al: 0.760 0.760 0.721
Al: 0.240 0.240 0.279
Al: 0.500 0.500 0.500
Pd: 0.598 0.598 0.207
Pd: 0.133 0.133 0.602
Pd: 0.867 0.867 0.398
Pd: 0.402 0.402 0.793
Ca: 0.000 0.000 0.000